Entry from Alexandria via LeMat-Bulk: a relaxed Mn2Nb3N crystal (GGA-PBE).

extended XYZ file:
```
24
Lattice="-1.3675 4.6215 -5.0221 0.7700 -4.9847 -4.7968 -6.7814 -1.4979 0.4681" Properties=species:S:1:pos:R:3 pbc="T T T"
N -2.7671 -0.6979 -3.5066
N -5.6234 -3.8485 -3.2162
N -5.3387 2.4845 -4.7014
N -1.0286 -1.6604 -7.2775
Nb -2.2656 -1.0382 -5.5975
Nb -1.9151 1.1722 -2.7881
Nb -6.3759 -3.6607 -5.2504
Nb -4.3241 0.6008 -4.2993
Nb -6.8629 1.7220 -3.3468
Nb -6.4091 1.3527 -6.2221
Nb -3.0979 -1.1249 -1.3976
Nb -0.7776 -1.5078 -3.1523
Nb -4.1680 -5.2089 -4.0939
Nb -2.8951 -1.6468 -8.3980
Nb -0.9598 0.4626 -7.7544
Nb -4.2222 -2.2896 -3.8045
Mn -1.8090 -3.7928 -4.6840
Mn -2.0634 1.9308 -5.6225
Mn -3.7695 -3.5083 -6.3001
Mn -4.9792 -1.2559 -6.3098
Mn -0.5550 -0.1400 -0.7033
Mn -6.7308 -0.8444 -4.4935
Mn -5.9062 -0.6044 -2.0854
Mn -3.7024 0.7703 -7.2047
```

Summary:
Volume, Å³/f.u.: 84
Final energy, eV/atom: -9.819
DOS at the Fermi energy, states/eV/f.u.: 6.322